No. 1
## BaLiEu2 (GGA-PBE)

Data for a relaxed BaLiEu2 crystal.

Lattice parameters (Å, degrees): 5.3481 5.3481 6.1165 90.00 90.00 90.00
Positions (direct):
Ba 0.0000 0.0000 0.0000
Li 0.5000 0.5000 0.0000
Eu 0.0000 0.5000 0.5000
Eu 0.5000 0.0000 0.5000

Computed properties:
Crystal system: tetragonal
ΔH_f (0 K) in meV/atom: 109

***

No. 2
## YRuPb2 (GGA-PBE)

Data for a relaxed YRuPb2 crystal.

Lattice parameters (Å, degrees): 5.7122 5.7122 5.7122 48.02 48.02 48.02
Positions (direct):
Y 0.0000 0.0000 0.0000
Ru 0.5000 0.5000 0.5000
Pb 0.2314 0.2314 0.2314
Pb 0.7686 0.7686 0.7686

Computed properties:
Crystal system: trigonal
ΔH_f (0 K) in meV/atom: -39

***

No. 3
## Zn2TcCl (GGA-PBE)

Data for a relaxed Zn2TcCl crystal.

Lattice parameters (Å, degrees): 6.7020 6.7020 6.7020 155.35 141.81 45.98
Positions (direct):
Zn 0.0000 0.0000 0.0000
Zn 0.6362 0.1362 0.5000
Tc 0.4618 0.4618 0.0000
Cl 0.3051 0.8051 0.5000

Computed properties:
Formation energy (no corrections) in eV per atom: 0.083
Crystal system: orthorhombic

***

No. 4
## Zr2Cd2Pb (GGA-PBE)

Data for a relaxed Zr2Cd2Pb crystal.

Lattice parameters (Å, degrees): 8.1121 8.1121 8.1121 151.16 151.16 41.24
Positions (direct):
Zr 0.0906 0.0906 0.0000
Zr 0.9094 0.9094 0.0000
Cd 0.2500 0.7500 0.5000
Cd 0.7500 0.2500 0.5000
Pb 0.5000 0.5000 0.0000

Computed properties:
Crystal system: tetragonal
ΔH_f (0 K) in meV/atom: 203

***

No. 5
## CeTeI6 (GGA-PBE)

Data for a relaxed CeTeI6 crystal.

Lattice parameters (Å, degrees): 7.9314 7.9314 7.4374 98.04 98.04 109.57
Positions (direct):
Ce 0.0000 0.0000 0.0000
Te 0.0000 0.0000 0.5000
I 0.0096 0.6695 0.1758
I 0.2732 0.2732 0.3530
I 0.3305 0.9904 0.8242
I 0.6695 0.0096 0.1758
I 0.7268 0.7268 0.6470
I 0.9904 0.3305 0.8242

Computed properties:
Formation energy (no corrections) in eV per atom: -0.653
Crystal system: monoclinic

***

No. 6
## Li5In12Ga2 (GGA-PBE)

Data for a relaxed Li5In12Ga2 crystal.

Lattice parameters (Å, degrees): 8.0059 8.0059 9.3284 102.42 102.42 53.47
Positions (direct):
Li 0.0000 0.0000 0.0000
Li 0.2331 0.2331 0.0105
Li 0.3578 0.3578 0.6145
Li 0.6422 0.6422 0.3855
Li 0.7669 0.7669 0.9895
In 0.0574 0.5366 0.3471
In 0.0925 0.0925 0.3617
In 0.1771 0.5936 0.8983
In 0.4064 0.8229 0.1017
In 0.4424 0.4424 0.2046
In 0.4634 0.9426 0.6529
In 0.5366 0.0574 0.3471
In 0.5576 0.5576 0.7954
In 0.5936 0.1771 0.8983
In 0.8229 0.4064 0.1017
In 0.9075 0.9075 0.6383
In 0.9426 0.4634 0.6529
Ga 0.3052 0.6948 0.5000
Ga 0.6948 0.3052 0.5000

Computed properties:
Crystal system: monoclinic
ΔH_f (0 K) in meV/atom: -53

***

No. 7
## KZn3Ru (GGA-PBE)

Data for a relaxed KZn3Ru crystal.

Lattice parameters (Å, degrees): 5.6427 5.6427 5.6427 90.00 90.00 90.00
Positions (direct):
K 0.0000 0.0000 0.0000
Zn 0.0000 0.0000 0.5000
Zn 0.0000 0.5000 0.0000
Zn 0.5000 0.0000 0.0000
Ru 0.5000 0.5000 0.5000

Computed properties:
Crystal system: cubic
ΔH_f (0 K) in meV/atom: 1775

***

No. 8
## Be2SnRh (GGA-PBE)

Data for a relaxed Be2SnRh crystal.

Lattice parameters (Å, degrees): 8.5381 8.5381 8.5381 153.38 153.38 38.01
Positions (direct):
Be 0.0021 0.6250 0.8771
Be 0.3750 0.2521 0.3771
Be 0.7479 0.1250 0.1229
Be 0.8750 0.9979 0.6229
Sn 0.2500 0.7500 0.5000
Sn 0.5000 0.5000 0.0000
Rh 0.0000 0.0000 0.0000
Rh 0.7500 0.2500 0.5000

Computed properties:
Crystal system: tetragonal
ΔH_f (0 K) in meV/atom: 208

***

| no. | mass density (Mg/m³) | energy (Ry per atom) |
| --- | --- | --- |
| 1 | 4.25 | -0.44008 |
| 2 | 10.63 | -0.42838 |
| 3 | 5.67 | -0.26513 |
| 4 | 8.23 | -0.31780 |
| 5 | 4.00 | -0.21685 |
| 6 | 5.53 | -0.19146 |
| 7 | 3.11 | -0.07822 |
| 8 | 6.38 | -0.33031 |